An optimized crystal structure of SnGeAsBr2, computed with GGA-PBEsol.

The raw formation energy comes out at 0.43 eV per atom. The calculation puts the total magnetization at 0.0 μB per formula unit. As for the space-group type: P4/mmm. The value obtained for the volume is 30.53 Å³/atom.

Cell: 5.3145 5.3145 5.4047 Å, 90.00 90.00 90.00°
Fractional coordinates of all 5 atoms:
Br: 0.5000 0.0000 0.0000
As: 0.0000 0.0000 0.5000
Sn: 0.0000 0.0000 0.0000
Br: 0.0000 0.5000 0.0000
Ge: 0.5000 0.5000 0.5000

---

An optimized crystal structure of AsHBr2, computed with GGA-PBEsol.

The calculation puts the total magnetization at 0.3 μB per formula unit. As for the space-group type: Fm-3m. The value obtained for the volume is 18.28 Å³/atom. For the total energy, the calculation gives -9.50 eV for the cell shown.

Cell: 4.6934 4.6934 4.6934 Å, 60.00 60.00 60.00°
Each line ends with the local moment (μB).
Fractional coordinates of all 4 atoms:
H: 0.0000 0.0000 0.0000  0.15
As: 0.5000 0.5000 0.5000  -0.07
Br: 0.2500 0.2500 0.2500  0.02
Br: 0.7500 0.7500 0.7500  0.02

---

An optimized crystal structure of HgAs2HBr, computed with GGA-PBEsol.

The calculation puts the total magnetization at 2.7 μB per formula unit. As for the space-group type: P4/mmm. The value obtained for the volume is 30.30 Å³/atom. For the total energy, the calculation gives -9.74 eV for the cell shown.

Cell: 5.1542 5.1542 5.7024 Å, 90.00 90.00 90.00°
Each line ends with the local moment (μB).
Fractional coordinates of all 5 atoms:
Hg: 0.0000 0.0000 0.0000  0.03
H: 0.5000 0.5000 0.5000  0.36
As: 0.5000 0.0000 0.0000  0.36
As: 0.0000 0.5000 0.0000  0.36
Br: 0.0000 0.0000 0.5000  0.14

---

An optimized crystal structure of HgAsHBr2, computed with GGA-PBEsol.

The calculation puts the total magnetization at 2.6 μB per formula unit. As for the space-group type: P4/mmm. The value obtained for the volume is 31.48 Å³/atom. For the total energy, the calculation gives -8.54 eV for the cell shown.

Cell: 5.1821 5.5116 5.5116 Å, 90.00 90.00 90.00°
Each line ends with the local moment (μB).
Fractional coordinates of all 5 atoms:
Br: 0.0000 0.0000 0.5000  0.05
Hg: 0.0000 0.0000 0.0000  0.02
H: 0.5000 0.5000 0.5000  0.36
Br: 0.0000 0.5000 0.0000  0.05
As: 0.5000 0.0000 0.0000  0.70

---

An optimized crystal structure of InAs2HBr, computed with GGA-PBEsol.

The calculation puts the total magnetization at 3.1 μB per formula unit. As for the space-group type: P4/mmm. The value obtained for the volume is 30.82 Å³/atom. For the total energy, the calculation gives -13.03 eV for the cell shown.

Cell: 5.2498 5.2498 5.5913 Å, 90.00 90.00 90.00°
Each line ends with the local moment (μB).
Fractional coordinates of all 5 atoms:
Br: 0.0000 0.0000 0.5000  0.15
As: 0.5000 0.0000 0.0000  0.44
In: 0.0000 0.0000 0.0000  0.00
As: 0.0000 0.5000 0.0000  0.44
H: 0.5000 0.5000 0.5000  0.36

---

An optimized crystal structure of MnAs2HBr, computed with GGA-PBEsol.

The calculation puts the total magnetization at 2.2 μB per formula unit. As for the space-group type: P4/mmm. The value obtained for the volume is 20.80 Å³/atom. For the total energy, the calculation gives -21.61 eV for the cell shown.

Cell: 4.4445 4.4445 5.2657 Å, 90.00 90.00 90.00°
Each line ends with the local moment (μB).
Fractional coordinates of all 5 atoms:
Mn: 0.0000 0.0000 0.0000  1.60
Br: 0.0000 0.0000 0.5000  0.00
H: 0.5000 0.5000 0.5000  0.33
As: 0.5000 0.0000 0.0000  -0.11
As: 0.0000 0.5000 0.0000  -0.11

---

An optimized crystal structure of NbAsHBr2, computed with GGA-PBEsol.

The calculation puts the total magnetization at 1.1 μB per formula unit. As for the space-group type: P4/mmm. The value obtained for the volume is 16.45 Å³/atom. For the total energy, the calculation gives -20.09 eV for the cell shown.

Cell: 3.4684 4.8696 4.8696 Å, 90.00 90.00 90.00°
Each line ends with the local moment (μB).
Fractional coordinates of all 5 atoms:
Br: 0.0000 0.0000 0.5000  -0.01
H: 0.0000 0.0000 0.0000  0.00
As: 0.5000 0.0000 0.0000  -0.06
Br: 0.0000 0.5000 0.0000  -0.01
Nb: 0.5000 0.5000 0.5000  0.99

---

An optimized crystal structure of AsHOsBr2, computed with GGA-PBEsol.

The calculation puts the total magnetization at 0.0 μB per formula unit. As for the space-group type: P4/mmm. The value obtained for the volume is 15.33 Å³/atom. For the total energy, the calculation gives -18.32 eV for the cell shown.

Cell: 3.3787 4.7624 4.7624 Å, 90.00 90.00 90.00°
Fractional coordinates of all 5 atoms:
As: 0.5000 0.0000 0.0000
Br: 0.0000 0.0000 0.5000
H: 0.0000 0.0000 0.0000
Br: 0.0000 0.5000 0.0000
Os: 0.5000 0.5000 0.5000